This record from Alexandria via LeMat-Bulk describes a relaxed structure of Ba5Cl. The functional is PBE.

## Properties
E, eV per atom: -1.817
Formation energy without anion corrections, eV per atom: 0.094

Cell: 8.122 8.122 7.644 Å, 90.00 90.00 120.00°
Positions (direct):
1 Ba 0.000 0.500 0.000
2 Ba 0.333 0.667 0.500
3 Ba 0.500 0.000 0.000
4 Ba 0.500 0.500 0.000
5 Ba 0.667 0.333 0.500
6 Cl 0.000 0.000 0.500



This record from Alexandria via LeMat-Bulk describes a relaxed structure of Na2OsO5. The functional is PBE.

## Properties
E, eV per atom: -6.120
Formation energy without anion corrections, eV per atom: -1.288

Cell: 6.500 6.500 8.263 Å, 113.68 113.68 50.19°
Positions (direct):
1 Na 0.010 0.990 0.500
2 Na 0.238 0.321 0.018
3 Na 0.321 0.238 0.518
4 Na 0.990 0.010 0.000
5 Os 0.592 0.677 0.796
6 Os 0.677 0.592 0.296
7 O 0.312 0.829 0.297
8 O 0.361 0.598 0.616
9 O 0.408 0.988 0.713
10 O 0.453 0.816 0.989
11 O 0.598 0.361 0.116
12 O 0.691 0.888 0.381
13 O 0.816 0.453 0.489
14 O 0.829 0.312 0.797
15 O 0.888 0.691 0.881
16 O 0.988 0.408 0.213



This record from Alexandria via LeMat-Bulk describes a relaxed structure of La3PtRh8. The functional is PBE.

## Properties
E, eV per atom: -7.137

Cell: 5.357 5.472 9.251 Å, 105.48 90.01 119.27°
Positions (direct):
1 La 0.000 0.000 0.000
2 La 0.100 0.199 0.390
3 La 0.619 0.239 0.820
4 Pt 0.411 0.820 0.446
5 Rh 0.043 0.587 0.175
6 Rh 0.079 0.159 0.691
7 Rh 0.088 0.665 0.681
8 Rh 0.322 0.644 0.934
9 Rh 0.546 0.587 0.174
10 Rh 0.553 0.104 0.203
11 Rh 0.578 0.665 0.681
12 Rh 0.820 0.640 0.435



This record from Alexandria via LeMat-Bulk describes a relaxed structure of Li2MnRu. The functional is PBE.

## Properties
E, eV per atom: -5.266

Cell: 2.498 4.398 4.945 Å, 90.00 90.00 90.00°
Positions (direct):
1 Li 0.000 0.000 0.240
2 Li 0.000 0.000 0.760
3 Mn 0.500 0.500 0.500
4 Ru 0.500 0.500 0.000



This record from Alexandria via LeMat-Bulk describes a relaxed structure of Sr2YAu. The functional is PBE.

## Properties
E, eV per atom: -3.563

Cell: 7.172 7.172 7.172 Å, 148.59 131.13 59.25°
Positions (direct):
1 Sr 0.000 0.000 0.000
2 Sr 0.694 0.194 0.500
3 Y 0.382 0.382 0.000
4 Au 0.209 0.709 0.500



This record from Alexandria via LeMat-Bulk describes a relaxed structure of PmHF. The functional is PBE.

## Properties
E, eV per atom: -5.303

Cell: 3.963 3.963 3.963 Å, 60.00 60.00 60.00°
Positions (direct):
1 Pm 0.000 0.000 0.000
2 H 0.750 0.750 0.750
3 F 0.250 0.250 0.250



This record from Alexandria via LeMat-Bulk describes a relaxed structure of NaVS2N. The functional is PBE.

## Properties
E, eV per atom: -4.020
Formation energy without anion corrections, eV per atom: 1.384

Cell: 4.900 4.900 4.110 Å, 90.00 90.00 90.00°
Positions (direct):
1 Na 0.000 0.000 0.000
2 V 0.500 0.500 0.500
3 S 0.000 0.500 0.000
4 S 0.500 0.000 0.000
5 N 0.000 0.000 0.500



This record from Alexandria via LeMat-Bulk describes a relaxed structure of Tb9Y2Ho3. The functional is PBE.

## Properties
E, eV per atom: -4.770

Cell: 6.238 8.730 8.815 Å, 80.06 75.30 87.57°
Positions (direct):
1 Tb 0.000 0.000 0.000
2 Tb 0.013 0.538 0.163
3 Tb 0.132 0.093 0.598
4 Tb 0.257 0.160 0.200
5 Tb 0.392 0.453 0.396
6 Tb 0.542 0.803 0.177
7 Tb 0.567 0.064 0.807
8 Tb 0.678 0.362 0.005
9 Tb 0.819 0.425 0.586
10 Y 0.006 0.800 0.403
11 Y 0.870 0.717 0.808
12 Ho 0.236 0.380 0.812
13 Ho 0.442 0.754 0.604
14 Ho 0.700 0.124 0.372



This record from Alexandria via LeMat-Bulk describes a relaxed structure of Na4PuTl5. The functional is PBE.

## Properties
E, eV per atom: -3.218

Cell: 3.545 3.545 22.214 Å, 90.00 90.00 90.00°
Positions (direct):
1 Na 0.000 0.000 0.100
2 Na 0.000 0.000 0.300
3 Na 0.000 0.000 0.700
4 Na 0.000 0.000 0.900
5 Pu 0.000 0.000 0.500
6 Tl 0.500 0.500 0.000
7 Tl 0.500 0.500 0.200
8 Tl 0.500 0.500 0.399
9 Tl 0.500 0.500 0.601
10 Tl 0.500 0.500 0.800



This record from Alexandria via LeMat-Bulk describes a relaxed structure of TiFeBi3. The functional is PBE.

## Properties
E, eV per atom: -4.785

Cell: 5.377 5.377 5.377 Å, 90.00 90.00 90.00°
Positions (direct):
1 Ti 0.000 0.000 0.000
2 Fe 0.500 0.500 0.500
3 Bi 0.000 0.000 0.500
4 Bi 0.000 0.500 0.000
5 Bi 0.500 0.000 0.000



This record from Alexandria via LeMat-Bulk describes a relaxed structure of Ba2AlCdH. The functional is PBE.

## Properties
E, eV per atom: -2.534

Cell: 5.628 5.628 4.580 Å, 90.00 90.00 90.00°
Positions (direct):
1 Ba 0.000 0.500 0.000
2 Ba 0.500 0.000 0.000
3 Al 0.000 0.000 0.500
4 Cd 0.500 0.500 0.500
5 H 0.500 0.500 0.000



This record from Alexandria via LeMat-Bulk describes a relaxed structure of HfPd5Au5. The functional is PBE.

## Properties
E, eV per atom: -5.003

Cell: 5.658 5.823 6.255 Å, 76.66 78.99 89.84°
Positions (direct):
1 Hf 0.000 0.000 0.000
2 Pd 0.160 0.669 0.329
3 Pd 0.165 0.165 0.324
4 Pd 0.500 0.000 0.000
5 Pd 0.835 0.835 0.676
6 Pd 0.840 0.331 0.671
7 Au 0.000 0.500 0.000
8 Au 0.338 0.830 0.672
9 Au 0.340 0.337 0.678
10 Au 0.660 0.663 0.322
11 Au 0.662 0.170 0.328



no.,total moment (μB per cell)
1,0.59
2,0.00
3,0.00
4,2.76
5,0.00
6,0.00
7,0.97
8,0.00
9,6.00
10,3.41
11,0.00
12,0.00